A relaxed Sr6AgRh crystal, computed with GGA-PBE.

Unit cell a=7.4897 b=7.4897 c=14.5416 alpha=90.00 beta=90.00 gamma=120.00
Space group P-31c (No. 163)
Inequivalent atoms, fractional coordinates:
Sr 0.0054 0.3229 0.1190 [12 per cell]
Ag 0.3333 0.6667 0.7500 [2 per cell]
Rh 0.0000 0.0000 0.0000 [2 per cell]

Values from the calculation:
DFT formation energy, eV/atom: -0.19
Volume, Å³/f.u.: 353.2
Crystal system: trigonal